1.
# SmMgZn10 | the Alexandria database | GGA-PBE | optimized geometry
data_SmMgZn10
_cell_length_a 4.285
_cell_length_b 5.218
_cell_length_c 9.211
_cell_angle_alpha 90.00
_cell_angle_beta 90.00
_cell_angle_gamma 90.00
_symmetry_space_group_name_H-M 'P m m m'
_symmetry_Int_Tables_number 47
loop_
_symmetry_equiv_pos_as_xyz
'x,y,z'
'-x,-y,-z'
'-x,-y,z'
'x,y,-z'
'x,-y,-z'
'-x,y,z'
'-x,y,-z'
'x,-y,z'
loop_
_atom_site_label
_atom_site_type_symbol
_atom_site_fract_x
_atom_site_fract_y
_atom_site_fract_z
Sm1 Sm 0.000 0.000 0.000
Mg1 Mg 0.000 0.500 0.500
Zn1 Zn 0.000 0.000 0.346
Zn2 Zn 0.000 0.500 0.187
Zn3 Zn 0.500 0.000 0.500
Zn4 Zn 0.500 0.244 0.243
Zn5 Zn 0.500 0.500 0.000
# Calculated total energy (eV per atom): -1.75

***

2.
# TiP2IrRh | the Alexandria database | GGA-PBE | optimized geometry
data_TiP2IrRh
_cell_length_a 4.465
_cell_length_b 4.465
_cell_length_c 4.927
_cell_angle_alpha 90.00
_cell_angle_beta 90.00
_cell_angle_gamma 90.00
_symmetry_space_group_name_H-M 'P 4/m m m'
_symmetry_Int_Tables_number 123
_symmetry_space_group_name_Hall '-P 4 2'
loop_
_atom_site_label
_atom_site_type_symbol
_atom_site_fract_x
_atom_site_fract_y
_atom_site_fract_z
Ti1 Ti 0.000 0.000 0.000
P1 P 0.000 0.500 0.500
Ir1 Ir 0.500 0.500 0.500
Rh1 Rh 0.500 0.500 0.000
# Calculated total energy (eV per atom): -6.18

***

Repeat the first record exactly.
# SmMgZn10 | the Alexandria database | GGA-PBE | optimized geometry
data_SmMgZn10
_cell_length_a 4.285
_cell_length_b 5.218
_cell_length_c 9.211
_cell_angle_alpha 90.00
_cell_angle_beta 90.00
_cell_angle_gamma 90.00
_symmetry_space_group_name_H-M 'P m m m'
_symmetry_Int_Tables_number 47
loop_
_symmetry_equiv_pos_as_xyz
'x,y,z'
'-x,-y,-z'
'-x,-y,z'
'x,y,-z'
'x,-y,-z'
'-x,y,z'
'-x,y,-z'
'x,-y,z'
loop_
_atom_site_label
_atom_site_type_symbol
_atom_site_fract_x
_atom_site_fract_y
_atom_site_fract_z
Sm1 Sm 0.000 0.000 0.000
Mg1 Mg 0.000 0.500 0.500
Zn1 Zn 0.000 0.000 0.346
Zn2 Zn 0.000 0.500 0.187
Zn3 Zn 0.500 0.000 0.500
Zn4 Zn 0.500 0.244 0.243
Zn5 Zn 0.500 0.500 0.000
# Calculated total energy (eV per atom): -1.75

***

> What is the calculated total energy in the first record?

-1.75 eV per atom

***

> Which of these has the lowest calculated total energy?

TiP2IrRh

***

> Look up the calculated total energy of the first one.

-1.75 eV per atom